(1)
DFT (GGA-PBE) results for crystalline La5Ho2Er5 at its relaxed geometry.

Cell: 5.093 10.805 8.116 Å, 98.72 71.71 76.37°
Positions (direct):
Er 0.333 0.000 0.335
La 0.996 0.252 0.755
La 0.004 0.748 0.245
Er 0.669 0.746 0.916
Ho 0.668 0.499 0.165
La 0.333 0.748 0.587
La 0.667 0.252 0.413
Er 0.667 0.000 0.665
Ho 0.332 0.501 0.835
Er 0.000 0.500 0.500
La 0.000 0.000 0.000
Er 0.331 0.254 0.084

=====

(2)
DFT (GGA-PBE) results for crystalline Pr2ZnCu at its relaxed geometry.

Cell: 3.671 5.204 10.346 Å, 90.00 90.00 90.00°
Positions (direct):
Zn 0.500 0.750 0.620
Zn 0.500 0.250 0.380
Pr 0.000 0.750 0.369
Cu 0.500 0.250 0.874
Pr 0.000 0.250 0.631
Pr 0.000 0.750 0.879
Cu 0.500 0.750 0.126
Pr 0.000 0.250 0.121

=====

| no. | energy relative to the elements (eV/atom) | raw total energy (eV/atom) |
| --- | --- | --- |
| 1 | 0.0322 | -4.6850 |
| 2 | -0.2099 | -3.9421 |